Computed, not measured: a geometry-optimized LiPaTlPd structure at the PBE level of DFT.

Cell: 4.849 4.849 4.849 Å, 60.00 60.00 60.00°
Positions (direct):
Tl 0.250 0.250 0.250
Pa 0.750 0.750 0.750
Pd 0.000 0.000 0.000
Li 0.500 0.500 0.500

The density of states at the Fermi level is 1.0990 states/eV per atom. The space-group type is No. 216. The calculated volume is 80.6 Å³/cell. For the energy of formation from the pure elements, the calculation gives -155 meV/atom. The electronic total energy comes out at -4.897 eV/atom.